(1)
HfSiSeN2: single point on PBEsol structure, SCAN.

Cell: 3.6699 3.6699 4.7260 Å, 90.00 90.00 90.00°
Closest atoms and distances in Å follow each position.
Positions (direct):
Hf  0.5000  0.5000  0.5000  4 Se 2.59
Se  0.0000  0.0000  0.5000  2 Si 2.36, 4 Hf 2.59
N  0.5000  0.0000  0.0000  2 Si 1.83
N  0.0000  0.5000  0.0000  2 Si 1.83
Si  0.0000  0.0000  0.0000  4 N 1.83

Values from the calculation:
E_form (uncorrected): 122 meV/atom
Density of states at the Fermi level: 0.357 states/eV per atom

(2)
BaSnPCl2: single point on PBEsol structure, SCAN.

Cell: 5.6005 5.6005 5.8625 Å, 90.00 90.00 90.00°
Closest atoms and distances in Å follow each position.
Positions (direct):
Sn  0.5000  0.5000  0.5000  4 P 3.96, 8 Cl 4.05
Ba  0.0000  0.0000  0.0000  4 Cl 2.80, 2 P 2.93
Cl  0.5000  0.0000  0.0000  2 Ba 2.80
Cl  0.0000  0.5000  0.0000  2 Ba 2.80
P  0.0000  0.0000  0.5000  2 Ba 2.93

Values from the calculation:
E_form (uncorrected): -390 meV/atom
Density of states at the Fermi level: 0.343 states/eV per atom

(3)
K2HgCl4: single point on PBEsol structure, SCAN.

Cell: 7.9633 9.4459 11.6043 Å, 90.00 90.00 90.00°
Closest atoms and distances in Å follow each position.
Positions (direct):
Cl  0.2512  0.0043  0.2366  1 Hg 2.32
Cl  0.2512  0.4957  0.2366  1 Hg 2.32
Cl  0.2500  0.2500  0.4859  2 Hg 2.86-2.94, 4 K 3.09
Cl  0.2500  0.2500  0.9859  2 Hg 2.86-2.94, 4 K 3.09
Cl  0.7500  0.7500  0.5141  2 Hg 2.86-2.94, 4 K 3.09
Cl  0.2500  0.7500  0.4841  4 K 3.09
Cl  0.7512  0.5043  0.2634  1 Hg 2.32
Cl  0.2500  0.7500  0.9841  4 K 3.09
Cl  0.7488  0.9957  0.7634  1 Hg 2.32
Cl  0.7512  0.9957  0.2634  1 Hg 2.32
Cl  0.7500  0.2500  0.5159  4 K 3.09
Cl  0.7500  0.2500  0.0159  4 K 3.09
Cl  0.2488  0.4957  0.7366  1 Hg 2.32
Cl  0.2488  0.0043  0.7366  1 Hg 2.32
Cl  0.7500  0.7500  0.0141  2 Hg 2.86-2.94, 4 K 3.09
Cl  0.7488  0.5043  0.7634  1 Hg 2.32
K  0.5000  0.0000  0.5000  6 Cl 3.09-3.40
K  0.0000  0.0000  0.0000  6 Cl 3.09-3.40
K  0.0000  0.5000  0.0000  6 Cl 3.09-3.40
K  0.0000  0.0000  0.5000  6 Cl 3.09-3.39
K  0.5000  0.0000  0.0000  6 Cl 3.09-3.39
K  0.0000  0.5000  0.5000  6 Cl 3.09-3.39
K  0.5000  0.5000  0.5000  6 Cl 3.09-3.40
K  0.5000  0.5000  0.0000  6 Cl 3.09-3.39
Hg  0.2512  0.2500  0.2392  2 Cl 2.32
Hg  0.2488  0.2500  0.7392  2 Cl 2.32
Hg  0.7488  0.7500  0.7608  2 Cl 2.32
Hg  0.7512  0.7500  0.2608  2 Cl 2.32

Values from the calculation:
E_form (uncorrected): -1467 meV/atom
Density of states at the Fermi level: 0.000 states/eV per atom

(4)
Cd2AsSe: single point on PBEsol structure, SCAN.

Cell: 4.8922 4.8922 4.8922 Å, 60.00 60.00 60.00°
Closest atoms and distances in Å follow each position.
Positions (direct):
Cd  0.7500  0.7500  0.7500  4 Se 3.00, 4 As 3.00
Cd  0.2500  0.2500  0.2500  4 As 3.00, 4 Se 3.00
Se  0.5000  0.5000  0.5000  8 Cd 3.00
As  0.0000  0.0000  0.0000  8 Cd 3.00

Values from the calculation:
E_form (uncorrected): 210 meV/atom
Density of states at the Fermi level: 0.632 states/eV per atom

(5)
Mn2AlS: single point on PBEsol structure, SCAN.

Cell: 5.0126 5.2484 5.2484 Å, 76.82 61.48 61.48°
Closest atoms and distances in Å follow each position.
Positions (direct):
Al  0.2500  0.5000  0.5000  2 S 2.51, 8 Mn 2.73-2.76
Al  0.5000  0.0000  0.0000  2 S 2.51, 8 Mn 2.73-2.76
S  0.7500  0.5000  0.5000  4 Mn 2.08
S  0.0000  0.0000  0.0000  4 Mn 2.08
Mn  0.0476  0.0774  0.5774  2 S 2.08
Mn  0.3750  0.5774  0.9226  2 S 2.08
Mn  0.7024  0.9226  0.4226  2 S 2.08
Mn  0.8750  0.4226  0.0774  2 S 2.08

Values from the calculation:
E_form (uncorrected): 60 meV/atom
Density of states at the Fermi level: 0.765 states/eV per atom

(6)
MgRe2O8: single point on PBEsol structure, SCAN.

Cell: 4.9249 10.2875 10.2875 Å, 120.00 90.00 90.00°
Closest atoms and distances in Å follow each position.
Positions (direct):
Mg  0.6378  0.6667  0.3333  6 O 2.09-2.10
Mg  0.6378  0.3333  0.6667  6 O 2.09-2.10
Mg  0.1390  0.0000  0.0000  6 O 2.09-2.11
Re  0.5107  0.0000  0.6744  4 O 1.72-1.76
Re  0.9939  0.0000  0.3400  4 O 1.72-1.75
Re  0.9939  0.3400  0.0000  4 O 1.72-1.75
Re  0.5107  0.3256  0.3256  4 O 1.72-1.76
Re  0.5107  0.6744  0.0000  4 O 1.72-1.76
Re  0.9939  0.6600  0.6600  4 O 1.72-1.75
O  0.4125  0.1623  0.6710  1 Re 1.76
O  0.3777  0.0000  0.8322  1 Re 1.75
O  0.4125  0.8377  0.5087  1 Re 1.76
O  0.4125  0.5087  0.8377  1 Re 1.76
O  0.8594  0.0000  0.6807  1 Re 1.72
O  0.8692  0.8384  0.3356  1 Re 1.75
O  0.8692  0.3356  0.8384  1 Re 1.75
O  0.8692  0.1616  0.4972  1 Re 1.75
O  0.3777  0.8322  0.0000  1 Re 1.75
O  0.8692  0.6644  0.5028  1 Re 1.75
O  0.4125  0.4913  0.3290  1 Re 1.76
O  0.3777  0.1678  0.1678  1 Re 1.75
O  0.8692  0.5028  0.6644  1 Re 1.75
O  0.9113  0.1742  0.0000  1 Re 1.75
O  0.4125  0.6710  0.1623  1 Re 1.76
O  0.9113  0.8258  0.8258  1 Re 1.75
O  0.9113  0.0000  0.1742  1 Re 1.75
O  0.3426  0.0000  0.3498  1 Re 1.72
O  0.8692  0.4972  0.1616  1 Re 1.75
O  0.4125  0.3290  0.4913  1 Re 1.76
O  0.3426  0.3498  0.0000  1 Re 1.72
O  0.8594  0.6807  0.0000  1 Re 1.72
O  0.3426  0.6502  0.6502  1 Re 1.72
O  0.8594  0.3193  0.3193  1 Re 1.72

Values from the calculation:
E_form (uncorrected): -1944 meV/atom
Density of states at the Fermi level: 0.000 states/eV per atom

(7)
PdRuNF2: single point on PBEsol structure, SCAN.

Cell: 3.6674 4.2729 4.2729 Å, 90.00 90.00 90.00°
Closest atoms and distances in Å follow each position.
Positions (direct):
Pd  0.0000  0.0000  0.0000  2 N 1.83
Ru  0.5000  0.5000  0.5000  8 F 2.82, 4 N 3.02
N  0.5000  0.0000  0.0000  2 Pd 1.83
F  0.0000  0.0000  0.5000  2 Pd 2.14
F  0.0000  0.5000  0.0000  2 Pd 2.14

Values from the calculation:
E_form (uncorrected): 367 meV/atom
Density of states at the Fermi level: 0.385 states/eV per atom

(8)
RbB3I: single point on PBEsol structure, SCAN.

Cell: 5.2398 5.2398 5.2398 Å, 90.00 90.00 90.00°
Closest atoms and distances in Å follow each position.
Positions (direct):
B  0.0000  0.0000  0.5000  2 Rb 2.62
B  0.0000  0.5000  0.0000  2 Rb 2.62
B  0.5000  0.0000  0.0000  2 Rb 2.62
I  0.5000  0.5000  0.5000  12 B 3.71
Rb  0.0000  0.0000  0.0000  6 B 2.62

Values from the calculation:
E_form (uncorrected): 3223 meV/atom
Density of states at the Fermi level: 0.675 states/eV per atom